# 1
Material: TcHIO2
Method: DFT, GGA-PBE
State: optimized geometry

Calculated values
D(E_F) = 0.7057 states/eV per atom
Energy above the most stable polymorph in this dataset = 7.07 eV per formula unit
Spin magnetization = 0.410 μB/atom
V = 11.83 Å³ per atom

Unit cell a=4.141 b=4.141 c=3.448 alpha=90.00 beta=90.00 gamma=90.00
Space group P4/mmm (No. 123)
Asymmetric unit:
Tc 0.000 0.000 0.000 x1
H 0.500 0.500 0.500 x1
I 0.500 0.500 0.000 x1
O 0.000 0.500 0.500 x2

---

# 2
Material: TcHIO2
Method: DFT, GGA-PBE
State: optimized geometry

Calculated values
D(E_F) = 0.4772 states/eV per atom
Energy above the most stable polymorph in this dataset = 0.00 eV per formula unit
Spin magnetization = 0.005 μB/atom
V = 16.38 Å³ per atom

Unit cell a=3.746 b=3.746 c=5.836 alpha=90.00 beta=90.00 gamma=90.00
Space group P4/mmm (No. 123)
Asymmetric unit:
Tc 0.000 0.000 0.000 x1
H 0.500 0.500 0.500 x1
I 0.000 0.000 0.500 x1
O 0.000 0.500 0.000 x2

---

# 3
Material: TiHI2O
Method: DFT, GGA-PBE
State: optimized geometry

Calculated values
D(E_F) = 0.0820 states/eV per atom
Energy above the most stable polymorph in this dataset = 0.00 eV per formula unit
Spin magnetization = 0.205 μB/atom
V = 23.77 Å³ per atom

Unit cell a=5.640 b=5.640 c=3.737 alpha=90.00 beta=90.00 gamma=90.00
Space group P4/mmm (No. 123)
Asymmetric unit:
Ti 0.000 0.000 0.000 x1
H 0.500 0.500 0.500 x1
I 0.000 0.500 0.000 x2
O 0.000 0.000 0.500 x1

---

# 4
Material: TiHIO2
Method: DFT, GGA-PBE
State: optimized geometry

Calculated values
D(E_F) = 0.3504 states/eV per atom
Energy above the most stable polymorph in this dataset = 0.00 eV per formula unit
Spin magnetization = 0.036 μB/atom
V = 16.88 Å³ per atom

Unit cell a=3.737 b=3.737 c=6.043 alpha=90.00 beta=90.00 gamma=90.00
Space group P4/mmm (No. 123)
Asymmetric unit:
Ti 0.000 0.000 0.000 x1
H 0.500 0.500 0.500 x1
I 0.000 0.000 0.500 x1
O 0.000 0.500 0.000 x2

---

# 5
Material: TiHI2O
Method: DFT, GGA-PBE
State: optimized geometry

Calculated values
D(E_F) = 1.0612 states/eV per atom
Energy above the most stable polymorph in this dataset = 5.24 eV per formula unit
Spin magnetization = 0.000 μB/atom
V = 17.37 Å³ per atom

Unit cell a=5.337 b=5.337 c=3.049 alpha=90.00 beta=90.00 gamma=90.00
Space group P4/mmm (No. 123)
Asymmetric unit:
Ti 0.000 0.000 0.000 x1
H 0.500 0.500 0.500 x1
I 0.000 0.500 0.500 x2
O 0.500 0.500 0.000 x1

---

# 6
Material: TiHIO2
Method: DFT, GGA-PBE
State: optimized geometry

Calculated values
D(E_F) = 0.6928 states/eV per atom
Energy above the most stable polymorph in this dataset = 6.74 eV per formula unit
Spin magnetization = 0.000 μB/atom
V = 11.75 Å³ per atom

Unit cell a=4.132 b=4.132 c=3.441 alpha=90.00 beta=90.00 gamma=90.00
Space group P4/mmm (No. 123)
Asymmetric unit:
Ti 0.000 0.000 0.000 x1
H 0.500 0.500 0.500 x1
I 0.500 0.500 0.000 x1
O 0.000 0.500 0.500 x2

---

# 7
Material: TlH6I2O2
Method: DFT, GGA-PBE
State: optimized geometry

Calculated values
D(E_F) = 0.1820 states/eV per atom
Electronic total energy = -3.705 eV per atom
Spin magnetization = 0.082 μB/atom
V = 20.47 Å³ per atom

Unit cell a=12.969 b=5.262 c=8.311 alpha=90.00 beta=127.44 gamma=90.00
Space group C2/m (No. 12)
Asymmetric unit:
Tl 0.000 0.000 0.000 x2
H 0.138 0.500 0.372 x4
H 0.145 0.342 0.552 x8
I 0.248 0.500 0.225 x4
O 0.106 0.500 0.460 x4